# HfCoPb, relaxed, DFT PBE
data_HfCoPb
_cell_length_a 10.784
_cell_length_b 10.784
_cell_length_c 3.732
_cell_angle_alpha 90.00
_cell_angle_beta 90.00
_cell_angle_gamma 162.27
_symmetry_space_group_name_H-M 'P 1'
_symmetry_Int_Tables_number 1
loop_
_symmetry_equiv_pos_as_xyz
'x,y,z'
loop_
_atom_site_label
_atom_site_type_symbol
_atom_site_fract_x
_atom_site_fract_y
_atom_site_fract_z
_atom_site_occupancy
Hf1 Hf 0.064 0.936 0.750 1
Hf2 Hf 0.936 0.064 0.250 1
Co1 Co 0.459 0.541 0.750 1
Co2 Co 0.541 0.459 0.250 1
Pb1 Pb 0.326 0.674 0.750 1
Pb2 Pb 0.674 0.326 0.250 1
# ΔE to the lowest computed polymorph = 0.000 eV per atom
# Formation energy from the elements = -16 kJ/mol of atoms
# Spin magnetization = 0.000 μB per formula unit
# Total DFT energy (no corrections) = -7.087 eV per atom

---

# Hf2CoPb, relaxed, DFT PBE
data_Hf2CoPb
_cell_length_a 6.084
_cell_length_b 6.084
_cell_length_c 6.084
_cell_angle_alpha 103.83
_cell_angle_beta 103.83
_cell_angle_gamma 121.46
_symmetry_space_group_name_H-M 'P 1'
_symmetry_Int_Tables_number 1
loop_
_symmetry_equiv_pos_as_xyz
'x,y,z'
loop_
_atom_site_label
_atom_site_type_symbol
_atom_site_fract_x
_atom_site_fract_y
_atom_site_fract_z
_atom_site_occupancy
Hf1 Hf 0.062 0.625 0.937 1
Hf2 Hf 0.375 0.312 0.437 1
Hf3 Hf 0.688 0.125 0.063 1
Hf4 Hf 0.875 0.938 0.563 1
Co1 Co 0.000 0.000 0.000 1
Co2 Co 0.750 0.250 0.500 1
Pb1 Pb 0.250 0.750 0.500 1
Pb2 Pb 0.500 0.500 0.000 1
# Formation energy from the elements = 16 kJ/mol of atoms
# Spin magnetization = 0.000 μB per formula unit
# Total DFT energy (no corrections) = -7.516 eV per atom

---

# Hf6CoPb2, relaxed, DFT PBE
data_Hf6CoPb2
_cell_length_a 5.847
_cell_length_b 7.073
_cell_length_c 11.221
_cell_angle_alpha 90.00
_cell_angle_beta 120.96
_cell_angle_gamma 90.00
_symmetry_space_group_name_H-M 'P 1'
_symmetry_Int_Tables_number 1
loop_
_symmetry_equiv_pos_as_xyz
'x,y,z'
loop_
_atom_site_label
_atom_site_type_symbol
_atom_site_fract_x
_atom_site_fract_y
_atom_site_fract_z
_atom_site_occupancy
Hf1 Hf 0.111 0.215 0.473 1
Hf2 Hf 0.111 0.285 0.973 1
Hf3 Hf 0.330 0.669 0.476 1
Hf4 Hf 0.330 0.831 0.976 1
Hf5 Hf 0.386 0.024 0.253 1
Hf6 Hf 0.386 0.476 0.753 1
Hf7 Hf 0.614 0.524 0.247 1
Hf8 Hf 0.614 0.976 0.747 1
Hf9 Hf 0.670 0.169 0.024 1
Hf10 Hf 0.670 0.331 0.524 1
Hf11 Hf 0.889 0.715 0.027 1
Hf12 Hf 0.889 0.785 0.527 1
Co1 Co 0.500 0.000 0.500 1
Co2 Co 0.500 0.500 0.000 1
Pb1 Pb 0.123 0.096 0.738 1
Pb2 Pb 0.123 0.404 0.238 1
Pb3 Pb 0.877 0.596 0.762 1
Pb4 Pb 0.877 0.904 0.262 1
# Formation energy from the elements = 2 kJ/mol of atoms
# Spin magnetization = 0.000 μB per formula unit
# Total DFT energy (no corrections) = -8.226 eV per atom

---

# Hf5Co2Pb2, relaxed, DFT PBE
data_Hf5Co2Pb2
_cell_length_a 8.227
_cell_length_b 8.227
_cell_length_c 6.970
_cell_angle_alpha 90.00
_cell_angle_beta 90.00
_cell_angle_gamma 54.21
_symmetry_space_group_name_H-M 'P 1'
_symmetry_Int_Tables_number 1
loop_
_symmetry_equiv_pos_as_xyz
'x,y,z'
loop_
_atom_site_label
_atom_site_type_symbol
_atom_site_fract_x
_atom_site_fract_y
_atom_site_fract_z
_atom_site_occupancy
Hf1 Hf 0.000 0.000 0.000 1
Hf2 Hf 0.064 0.725 0.658 1
Hf3 Hf 0.225 0.564 0.158 1
Hf4 Hf 0.275 0.936 0.658 1
Hf5 Hf 0.436 0.775 0.158 1
Hf6 Hf 0.500 0.500 0.500 1
Hf7 Hf 0.564 0.225 0.842 1
Hf8 Hf 0.725 0.064 0.342 1
Hf9 Hf 0.775 0.436 0.842 1
Hf10 Hf 0.936 0.275 0.342 1
Co1 Co 0.120 0.880 0.362 1
Co2 Co 0.380 0.620 0.862 1
Co3 Co 0.620 0.380 0.138 1
Co4 Co 0.880 0.120 0.638 1
Pb1 Pb 0.220 0.220 0.000 1
Pb2 Pb 0.280 0.280 0.500 1
Pb3 Pb 0.720 0.720 0.500 1
Pb4 Pb 0.780 0.780 0.000 1
# Formation energy from the elements = -21 kJ/mol of atoms
# Spin magnetization = 0.000 μB per formula unit
# Total DFT energy (no corrections) = -8.153 eV per atom

---

# Hf5CoPb, relaxed, DFT PBE
data_Hf5CoPb
_cell_length_a 5.336
_cell_length_b 5.336
_cell_length_c 10.692
_cell_angle_alpha 100.93
_cell_angle_beta 100.93
_cell_angle_gamma 88.92
_symmetry_space_group_name_H-M 'P 1'
_symmetry_Int_Tables_number 1
loop_
_symmetry_equiv_pos_as_xyz
'x,y,z'
loop_
_atom_site_label
_atom_site_type_symbol
_atom_site_fract_x
_atom_site_fract_y
_atom_site_fract_z
_atom_site_occupancy
Hf1 Hf 0.025 0.975 0.750 1
Hf2 Hf 0.084 0.429 0.622 1
Hf3 Hf 0.217 0.511 0.931 1
Hf4 Hf 0.429 0.084 0.122 1
Hf5 Hf 0.489 0.783 0.569 1
Hf6 Hf 0.511 0.217 0.431 1
Hf7 Hf 0.571 0.916 0.878 1
Hf8 Hf 0.783 0.489 0.069 1
Hf9 Hf 0.916 0.571 0.378 1
Hf10 Hf 0.975 0.025 0.250 1
Co1 Co 0.000 0.000 0.000 1
Co2 Co 0.000 0.000 0.500 1
Pb1 Pb 0.375 0.625 0.250 1
Pb2 Pb 0.625 0.375 0.750 1
# Formation energy from the elements = 5 kJ/mol of atoms
# Spin magnetization = 0.000 μB per formula unit
# Total DFT energy (no corrections) = -8.603 eV per atom

---

# HfCo3Pb, relaxed, DFT PBE
data_HfCo3Pb
_cell_length_a 4.627
_cell_length_b 4.627
_cell_length_c 4.627
_cell_angle_alpha 90.00
_cell_angle_beta 90.00
_cell_angle_gamma 90.00
_symmetry_space_group_name_H-M 'P 1'
_symmetry_Int_Tables_number 1
loop_
_symmetry_equiv_pos_as_xyz
'x,y,z'
loop_
_atom_site_label
_atom_site_type_symbol
_atom_site_fract_x
_atom_site_fract_y
_atom_site_fract_z
_atom_site_occupancy
Hf1 Hf 0.000 0.000 0.000 1
Co1 Co 0.000 0.000 0.500 1
Co2 Co 0.000 0.500 0.000 1
Co3 Co 0.500 0.000 0.000 1
Pb1 Pb 0.500 0.500 0.500 1
# ΔE to the lowest computed polymorph = 0.000 eV per atom
# Formation energy from the elements = 112 kJ/mol of atoms
# Spin magnetization = 2.304 μB per formula unit
# Total DFT energy (no corrections) = -5.832 eV per atom

---

# Hf8CoPb2, relaxed, DFT PBE
data_Hf8CoPb2
_cell_length_a 8.709
_cell_length_b 8.709
_cell_length_c 6.014
_cell_angle_alpha 104.73
_cell_angle_beta 104.73
_cell_angle_gamma 33.19
_symmetry_space_group_name_H-M 'P 1'
_symmetry_Int_Tables_number 1
loop_
_symmetry_equiv_pos_as_xyz
'x,y,z'
loop_
_atom_site_label
_atom_site_type_symbol
_atom_site_fract_x
_atom_site_fract_y
_atom_site_fract_z
_atom_site_occupancy
Hf1 Hf 0.015 0.015 0.255 1
Hf2 Hf 0.220 0.220 0.125 1
Hf3 Hf 0.365 0.365 0.706 1
Hf4 Hf 0.408 0.408 0.239 1
Hf5 Hf 0.592 0.592 0.761 1
Hf6 Hf 0.635 0.635 0.294 1
Hf7 Hf 0.780 0.780 0.875 1
Hf8 Hf 0.985 0.985 0.745 1
Co1 Co 0.500 0.500 0.000 1
Pb1 Pb 0.175 0.175 0.614 1
Pb2 Pb 0.825 0.825 0.386 1
# Formation energy from the elements = 8 kJ/mol of atoms
# Spin magnetization = 0.000 μB per formula unit
# Total DFT energy (no corrections) = -8.480 eV per atom

---

# Hf2CoPb2, relaxed, DFT PBE
data_Hf2CoPb2
_cell_length_a 8.095
_cell_length_b 8.095
_cell_length_c 8.095
_cell_angle_alpha 151.04
_cell_angle_beta 151.04
_cell_angle_gamma 41.42
_symmetry_space_group_name_H-M 'P 1'
_symmetry_Int_Tables_number 1
loop_
_symmetry_equiv_pos_as_xyz
'x,y,z'
loop_
_atom_site_label
_atom_site_type_symbol
_atom_site_fract_x
_atom_site_fract_y
_atom_site_fract_z
_atom_site_occupancy
Hf1 Hf 0.092 0.092 0.000 1
Hf2 Hf 0.908 0.908 0.000 1
Co1 Co 0.500 0.500 0.000 1
Pb1 Pb 0.250 0.750 0.500 1
Pb2 Pb 0.750 0.250 0.500 1
# ΔE to the lowest computed polymorph = 0.615 eV per atom
# Formation energy from the elements = 81 kJ/mol of atoms
# Spin magnetization = 1.686 μB per formula unit
# Total DFT energy (no corrections) = -6.050 eV per atom

---

# HfCoPb, relaxed, DFT PBE
data_HfCoPb
_cell_length_a 4.395
_cell_length_b 4.395
_cell_length_c 4.395
_cell_angle_alpha 60.00
_cell_angle_beta 60.00
_cell_angle_gamma 60.00
_symmetry_space_group_name_H-M 'P 1'
_symmetry_Int_Tables_number 1
loop_
_symmetry_equiv_pos_as_xyz
'x,y,z'
loop_
_atom_site_label
_atom_site_type_symbol
_atom_site_fract_x
_atom_site_fract_y
_atom_site_fract_z
_atom_site_occupancy
Hf1 Hf 0.000 0.000 0.000 1
Co1 Co 0.250 0.250 0.250 1
Pb1 Pb 0.500 0.500 0.500 1
# ΔE to the lowest computed polymorph = 0.083 eV per atom
# Formation energy from the elements = -8 kJ/mol of atoms
# Spin magnetization = 0.635 μB per formula unit
# Total DFT energy (no corrections) = -7.004 eV per atom

---

# Hf2CoPb, relaxed, DFT PBE
data_Hf2CoPb
_cell_length_a 3.134
_cell_length_b 3.134
_cell_length_c 8.089
_cell_angle_alpha 90.00
_cell_angle_beta 90.00
_cell_angle_gamma 90.00
_symmetry_space_group_name_H-M 'P 1'
_symmetry_Int_Tables_number 1
loop_
_symmetry_equiv_pos_as_xyz
'x,y,z'
loop_
_atom_site_label
_atom_site_type_symbol
_atom_site_fract_x
_atom_site_fract_y
_atom_site_fract_z
_atom_site_occupancy
Hf1 Hf 0.000 0.000 0.194 1
Hf2 Hf 0.000 0.000 0.806 1
Co1 Co 0.500 0.500 0.000 1
Pb1 Pb 0.500 0.500 0.500 1
# Formation energy from the elements = -9 kJ/mol of atoms
# Spin magnetization = 0.000 μB per formula unit
# Total DFT energy (no corrections) = -7.778 eV per atom

---

# Hf2Co2Pb, relaxed, DFT PBE
data_Hf2Co2Pb
_cell_length_a 5.854
_cell_length_b 5.854
_cell_length_c 5.854
_cell_angle_alpha 136.31
_cell_angle_beta 136.31
_cell_angle_gamma 63.50
_symmetry_space_group_name_H-M 'P 1'
_symmetry_Int_Tables_number 1
loop_
_symmetry_equiv_pos_as_xyz
'x,y,z'
loop_
_atom_site_label
_atom_site_type_symbol
_atom_site_fract_x
_atom_site_fract_y
_atom_site_fract_z
_atom_site_occupancy
Hf1 Hf 0.250 0.750 0.500 1
Hf2 Hf 0.750 0.250 0.500 1
Co1 Co 0.113 0.113 0.000 1
Co2 Co 0.887 0.887 0.000 1
Pb1 Pb 0.500 0.500 0.000 1
# Formation energy from the elements = -6 kJ/mol of atoms
# Spin magnetization = 0.000 μB per formula unit
# Total DFT energy (no corrections) = -7.625 eV per atom